A) Here is an optimized crystal structure of TaHRh3 from Alexandria. Energies are from PBE.

Cell: 5.1902 5.1902 6.1946 Å, 65.23 65.23 90.00°
Last column: nearest neighbours and their distance in Å.
Element x y z (fractional)
H  0.0000  0.0000  0.0000  4 Rh 1.78
H  0.2500  0.7500  0.5000  4 Rh 1.82
Rh  0.1318  0.8796  0.2409  2 H 1.78-1.82
Rh  0.1204  0.8682  0.7591  2 H 1.78-1.82
Rh  0.1204  0.3727  0.7591  2 H 1.78-1.82
Rh  0.6273  0.8796  0.2409  2 H 1.78-1.82
Rh  0.3660  0.3660  0.2681  2 Ta 2.62, 7 Rh 2.68-2.90, 2 H 2.84
Rh  0.6340  0.6340  0.7319  2 Ta 2.62, 7 Rh 2.68-2.90, 2 H 2.84
Ta  0.6006  0.1006  0.7987  4 Rh 2.55-2.62, 2 H 2.78
Ta  0.8994  0.3994  0.2013  4 Rh 2.55-2.62, 2 H 2.78

Calculated values
As for the crystal system: tetragonal. Its space group is I-4m2 (119).

***

B) Here is an optimized crystal structure of TaHRh3 from Alexandria. Energies are from PBE.

Cell: 3.9472 3.9472 3.9472 Å, 90.00 90.00 90.00°
Last column: nearest neighbours and their distance in Å.
Element x y z (fractional)
H  0.0000  0.0000  0.0000  6 Rh 1.97
Rh  0.0000  0.5000  0.0000  2 H 1.97
Rh  0.0000  0.0000  0.5000  2 H 1.97
Rh  0.5000  0.0000  0.0000  2 H 1.97
Ta  0.5000  0.5000  0.5000  12 Rh 2.79

Calculated values
As for the crystal system: cubic. Its space group is Pm-3m (221).

***

C) Here is an optimized crystal structure of TaHRh3 from Alexandria. Energies are from PBE.

Cell: 7.5193 7.5193 4.4992 Å, 90.00 90.00 140.55°
Last column: nearest neighbours and their distance in Å.
Element x y z (fractional)
H  0.3385  0.6615  0.2500  4 Rh 2.56, 2 Ta 2.58
H  0.6615  0.3385  0.7500  4 Rh 2.56, 2 Ta 2.58
Rh  0.4050  0.1240  0.2500  3 Rh 2.39-2.65, 2 H 2.56, 1 Ta 2.63
Rh  0.8760  0.5950  0.2500  3 Rh 2.39-2.65, 2 H 2.56, 1 Ta 2.63
Rh  0.1240  0.4050  0.7500  3 Rh 2.39-2.65, 2 H 2.56, 1 Ta 2.63
Rh  0.5950  0.8760  0.7500  3 Rh 2.39-2.65, 2 H 2.56, 1 Ta 2.63
Rh  0.0000  0.0000  0.0000  2 Rh 2.25
Rh  0.0000  0.0000  0.5000  2 Rh 2.25
Ta  0.8062  0.1938  0.2500  2 H 2.58, 6 Rh 2.63-2.73
Ta  0.1938  0.8062  0.7500  2 H 2.58, 6 Rh 2.63-2.73

Calculated values
As for the crystal system: orthorhombic. Its space group is Cmcm (63).

***

Which one sits at the top of the stability order? B) does.

***

A) Here is an optimized crystal structure of TaHRh3 from Alexandria. Energies are from PBE.

Cell: 17.4677 4.4658 7.4615 Å, 90.00 154.87 90.00°
Last column: nearest neighbours and their distance in Å.
Element x y z (fractional)
H  0.1263  0.4573  0.6266  5 Rh 1.90-2.10
H  0.8737  0.5427  0.3734  5 Rh 1.90-2.10
H  0.3737  0.9573  0.8734  5 Rh 1.90-2.10
H  0.6263  0.0427  0.1266  5 Rh 1.90-2.10
Rh  0.3389  0.2481  0.0113  2 H 1.90-2.06
Rh  0.6611  0.7519  0.9887  2 H 1.90-2.06
Rh  0.1611  0.7481  0.4887  2 H 1.90-2.06
Rh  0.8389  0.2519  0.5113  2 H 1.90-2.06
Rh  0.4558  0.2515  0.6177  1 H 1.92
Rh  0.5442  0.7485  0.3823  1 H 1.92
Rh  0.0442  0.7515  0.8823  1 H 1.92
Rh  0.9558  0.2485  0.1177  1 H 1.92
Rh  0.4162  0.7463  0.7441  2 H 1.92-2.10
Rh  0.5838  0.2537  0.2559  2 H 1.92-2.10
Rh  0.0838  0.2463  0.7559  2 H 1.92-2.10
Rh  0.9162  0.7537  0.2441  2 H 1.92-2.10
Ta  0.2969  0.7576  0.1409  1 H 2.17
Ta  0.7031  0.2424  0.8591  1 H 2.17
Ta  0.2031  0.2576  0.3591  1 H 2.17
Ta  0.7969  0.7424  0.6409  1 H 2.17

Calculated values
As for the crystal system: monoclinic. Its space group is P2_1/c (14).

***

B) Here is an optimized crystal structure of TaHRh3 from Alexandria. Energies are from PBE.

Cell: 7.3269 7.3269 7.3269 Å, 60.00 60.00 60.00°
Last column: nearest neighbours and their distance in Å.
Element x y z (fractional)
H  0.1250  0.1250  0.1250  6 Rh 1.98
H  0.1250  0.6250  0.1250  6 Rh 1.98
H  0.6250  0.1250  0.1250  6 Rh 1.98
H  0.1250  0.1250  0.6250  6 Rh 1.98
Rh  0.8033  0.1967  0.1967  2 H 1.98
Rh  0.0533  0.4467  0.4467  2 H 1.98
Rh  0.4467  0.4467  0.0533  2 H 1.98
Rh  0.4467  0.0533  0.0533  2 H 1.98
Rh  0.0533  0.4467  0.0533  2 H 1.98
Rh  0.8033  0.1967  0.8033  2 H 1.98
Rh  0.4467  0.0533  0.4467  2 H 1.98
Rh  0.0533  0.0533  0.4467  2 H 1.98
Rh  0.1967  0.8033  0.1967  2 H 1.98
Rh  0.1967  0.8033  0.8033  2 H 1.98
Rh  0.1967  0.1967  0.8033  2 H 1.98
Rh  0.8033  0.8033  0.1967  2 H 1.98
Ta  0.6250  0.6250  0.6250  6 Rh 2.60
Ta  0.6250  0.1250  0.6250  6 Rh 2.60
Ta  0.1250  0.6250  0.6250  6 Rh 2.60
Ta  0.6250  0.6250  0.1250  6 Rh 2.60

Calculated values
As for the crystal system: cubic. Its space group is Fd-3m (227).

***

C) Here is an optimized crystal structure of TaHRh3 from Alexandria. Energies are from PBE.

Cell: 4.6859 4.6859 9.4297 Å, 75.61 75.61 90.00°
Last column: nearest neighbours and their distance in Å.
Element x y z (fractional)
H  0.6447  0.1447  0.7107  2 Rh 2.36
H  0.8553  0.3553  0.2893  2 Rh 2.36
Rh  0.1244  0.8780  0.2441  2 Rh 2.31-2.38, 2 Ta 2.44-2.55
Rh  0.1220  0.8756  0.7559  2 Rh 2.31-2.38, 2 Ta 2.44-2.55
Rh  0.1220  0.3685  0.7559  2 Rh 2.31-2.38, 2 Ta 2.44-2.55
Rh  0.6315  0.8780  0.2441  2 Rh 2.31-2.38, 2 Ta 2.44-2.55
Rh  0.3406  0.3406  0.3187  2 H 2.36
Rh  0.6594  0.6594  0.6813  2 H 2.36
Ta  0.0000  0.0000  0.0000  4 Rh 2.44
Ta  0.2500  0.7500  0.5000  8 Rh 2.55-2.84

Calculated values
As for the crystal system: tetragonal. Its space group is I-4m2 (119).

***

Which one sits at the top of the stability order? A) does.

***

A) Here is an optimized crystal structure of TaHRh from Alexandria. Energies are from PBE.

Cell: 4.9858 4.2058 4.8469 Å, 66.41 50.62 62.98°
Last column: nearest neighbours and their distance in Å.
Element x y z (fractional)
Ta  0.9608  0.7677  0.9549  2 H 2.10
Ta  0.4608  0.2677  0.4549  2 H 2.10
H  0.4606  0.2681  0.9542  2 Rh 1.69
H  0.9608  0.2677  0.9549  2 Rh 1.99, 4 Ta 2.10
Rh  0.1902  0.9907  0.2320  1 H 1.69
Rh  0.7315  0.5449  0.6778  1 H 1.69

Calculated values
As for the crystal system: monoclinic. Its space group is C2/m (12).

***

B) Here is an optimized crystal structure of TaHRh from Alexandria. Energies are from PBE.

Cell: 2.9486 2.9486 4.5769 Å, 90.00 90.00 120.00°
Last column: nearest neighbours and their distance in Å.
Element x y z (fractional)
H  0.6667  0.3333  0.3034  3 Ta 1.99
Rh  0.3333  0.6667  0.6162  3 H 2.22
Ta  0.0000  0.0000  0.0804  3 H 1.99

Calculated values
As for the crystal system: trigonal. Its space group is P3m1 (156).

***

Which one sits at the top of the stability order? B) does.

***

A) Here is an optimized crystal structure of Ta2HRh from Alexandria. Energies are from PBE.

Cell: 4.3524 4.3524 4.3524 Å, 60.00 60.00 60.00°
Last column: nearest neighbours and their distance in Å.
Element x y z (fractional)
H  0.0000  0.0000  0.0000  8 Ta 2.67
Rh  0.5000  0.5000  0.5000  8 Ta 2.67
Ta  0.2500  0.2500  0.2500  4 H 2.67, 4 Rh 2.67
Ta  0.7500  0.7500  0.7500  4 Rh 2.67, 4 H 2.67

Calculated values
As for the crystal system: cubic. Its space group is Fm-3m (225).

***

B) Here is an optimized crystal structure of Ta2HRh from Alexandria. Energies are from PBE.

Cell: 2.9125 2.9125 7.3289 Å, 78.54 78.54 60.00°
Last column: nearest neighbours and their distance in Å.
Element x y z (fractional)
H  0.0000  0.0000  0.0000  6 Ta 2.15
Rh  0.5000  0.5000  0.5000  6 Ta 2.79, 6 Rh 2.91
Ta  0.2708  0.2708  0.1877  3 H 2.15
Ta  0.7292  0.7292  0.8123  3 H 2.15

Calculated values
As for the crystal system: trigonal. Its space group is R-3m (166).

***

C) Here is an optimized crystal structure of Ta2HRh from Alexandria. Energies are from PBE.

Cell: 6.0146 6.0146 5.2428 Å, 55.00 55.00 90.00°
Last column: nearest neighbours and their distance in Å.
Element x y z (fractional)
H  0.5000  0.5000  0.0000  4 Ta 1.98
H  0.2500  0.7500  0.5000  4 Ta 1.98
Rh  0.0000  0.0000  0.0000  4 Ta 2.59
Rh  0.7500  0.2500  0.5000  4 Ta 2.59
Ta  0.5478  0.1250  0.2500  2 H 1.98
Ta  0.2022  0.6250  0.2500  2 H 1.98
Ta  0.3750  0.4522  0.7500  2 H 1.98
Ta  0.8750  0.7978  0.7500  2 H 1.98

Calculated values
As for the crystal system: tetragonal. Its space group is I-42d (122).

***

Which one sits at the top of the stability order? B) does.